Record 1
# Mn2ReMo | Alexandria | PBE-GGA | relaxed
# SG: No. 10
# Volume, A^3/atom: 13.68
# Energy of formation, eV/atom: 0.10
# Total DFT energy (no corrections), eV/atom: -10.31
data_Mn2ReMo
_space_group_name_H-M_alt 'P 1'
_space_group_IT_number 1
_space_group_name_Hall 'P 1'
_cell_length_a 4.110
_cell_length_b 2.633
_cell_length_c 5.179
_cell_angle_alpha 77.53
_cell_angle_beta 90.00
_cell_angle_gamma 90.00
loop_
_atom_site_label
_atom_site_fract_x
_atom_site_fract_y
_atom_site_fract_z
Mn1 0.000 0.494 0.504
Mo1 0.500 0.250 0.250
Re1 0.500 0.750 0.750
Mn2 0.000 0.006 0.996

***

Record 2
# MnReMo2 | Alexandria | PBE-GGA | relaxed
# SG: No. 65
# Energy above the most stable polymorph in this dataset, meV per atom: 164
# Volume, A^3/atom: 14.89
# Energy of formation, eV/atom: 0.23
# Total DFT energy (no corrections), eV/atom: -10.59
data_MnReMo2
_space_group_name_H-M_alt 'P 1'
_space_group_IT_number 1
_space_group_name_Hall 'P 1'
_cell_length_a 4.763
_cell_length_b 4.763
_cell_length_c 2.780
_cell_angle_alpha 90.00
_cell_angle_beta 90.00
_cell_angle_gamma 109.22
loop_
_atom_site_label
_atom_site_fract_x
_atom_site_fract_y
_atom_site_fract_z
Mn1 0.000 0.500 0.500
Mo1 0.000 0.000 0.000
Re1 0.500 0.000 0.500
Mo2 0.500 0.500 0.000

***

Record 3
# MnRe2Mo2 | Alexandria | PBE-GGA | relaxed
# SG: No. 127
# Energy above the most stable polymorph in this dataset, meV per atom: 0
# Volume, A^3/atom: 15.86
# Energy of formation, eV/atom: 0.62
# Total DFT energy (no corrections), eV/atom: -10.53
data_MnRe2Mo2
_space_group_name_H-M_alt 'P 1'
_space_group_IT_number 1
_space_group_name_Hall 'P 1'
_cell_length_a 7.299
_cell_length_b 7.299
_cell_length_c 2.977
_cell_angle_alpha 90.00
_cell_angle_beta 90.00
_cell_angle_gamma 90.00
loop_
_atom_site_label
_atom_site_fract_x
_atom_site_fract_y
_atom_site_fract_z
Mn1 0.500 0.500 0.000
Mo1 0.338 0.162 0.500
Mo2 0.838 0.338 0.500
Re1 0.641 0.141 0.000
Re2 0.359 0.859 0.000
Mo3 0.162 0.662 0.500
Re3 0.859 0.641 0.000
Re4 0.141 0.359 0.000
Mn2 0.000 0.000 0.000
Mo4 0.662 0.838 0.500

***

- Which of these has the lowest energy of formation?
  Mn2ReMo

***

- The highest volume belongs to which entry?
  MnRe2Mo2